1.
An optimized crystal structure of Tl3Br. Source: the Alexandria database, functional PBE.

Results
DFT total energy, eV per cell: -19.85
Uncorrected formation energy, eV/atom: -0.2887
E above lowest polymorph, eV/atom: 0.011
Density of states at the Fermi level, states/eV/cell: 2.7

a = 12.379 Å, b = 4.173 Å, c = 5.269 Å
α = 90.00°, β = 105.34°, γ = 90.00°
Space group C2/m (No. 12)
Symmetry-distinct sites (fractional):
1 Tl 0.000 0.000 0.000 x2
2 Tl 0.240 0.000 0.741 x4
3 Br 0.000 0.500 0.500 x2

***

2.
An optimized crystal structure of Pr2LuNb. Source: the Alexandria database, functional PBE.

Results
DFT total energy, eV per cell: -68.15
ΔE_f, eV per atom: 0.36
Density of states at the Fermi level, states/eV/cell: 12.2

a = 5.3975 Å, b = 5.3975 Å, c = 13.1933 Å
α = 90.00°, β = 90.00°, γ = 120.00°
Space group R-3m (No. 166, hexagonal axes)
Symmetry-distinct sites (fractional):
1 Pr 0.0000 0.0000 0.2503 x6
2 Lu 0.0000 0.0000 0.0000 x3
3 Nb 0.0000 0.0000 0.5000 x3

***

3.
An optimized crystal structure of NaPuZn10. Source: the Alexandria database, functional PBE.

Results
DFT total energy, eV per cell: -29.31
ΔE_f, eV per atom: -0.08
Density of states at the Fermi level, states/eV/cell: 14.3

a = 4.308 Å, b = 5.255 Å, c = 9.334 Å
α = 90.00°, β = 90.00°, γ = 90.00°
Space group Pmmm (No. 47)
Symmetry-distinct sites (fractional):
1 Na 0.000 0.000 0.000 x1
2 Pu 0.000 0.500 0.500 x1
3 Zn 0.000 0.000 0.322 x2
4 Zn 0.000 0.500 0.159 x2
5 Zn 0.500 0.000 0.500 x1
6 Zn 0.500 0.260 0.263 x4
7 Zn 0.500 0.500 0.000 x1

***

4.
An optimized crystal structure of Ac2Al3ZnAg4. Source: the Alexandria database, functional PBE.

Results
DFT total energy, eV per cell: -35.15
ΔE_f, eV per atom: -0.30
Density of states at the Fermi level, states/eV/cell: 6.9

a = 4.606 Å, b = 4.606 Å, c = 10.697 Å
α = 90.00°, β = 90.00°, γ = 90.00°
Space group P-4m2 (No. 115)
Symmetry-distinct sites (fractional):
1 Ac 0.000 0.500 0.249 x2
2 Al 0.000 0.000 0.000 x1
3 Al 0.000 0.500 0.628 x2
4 Zn 0.500 0.500 0.000 x1
5 Ag 0.000 0.000 0.500 x1
6 Ag 0.000 0.500 0.872 x2
7 Ag 0.500 0.500 0.500 x1

***

5.
An optimized crystal structure of Zn2MoBr. Source: the Alexandria database, functional PBE.

Results
DFT total energy, eV per cell: -13.66
Uncorrected formation energy, eV/atom: 0.3482
E above lowest polymorph, eV/atom: 0.119
Density of states at the Fermi level, states/eV/cell: 2.9

a = 3.040 Å, b = 3.040 Å, c = 8.062 Å
α = 90.00°, β = 90.00°, γ = 90.00°
Space group P4mm (No. 99)
Symmetry-distinct sites (fractional):
1 Zn 0.000 0.000 0.000 x1
2 Zn 0.500 0.500 0.202 x1
3 Mo 0.500 0.500 0.780 x1
4 Br 0.000 0.000 0.582 x1

***

| no. | V (Å³/f.u.) | magnetization (μB/f.u.) |
| --- | --- | --- |
| 1 | 131.24 | 0.0 |
| 2 | 110.95 | 0.0 |
| 3 | 211.32 | 5.6 |
| 4 | 226.96 | 0.0 |
| 5 | 74.49 | 0.5 |